No. 1
LiGe3Bi PBEsol optimized geometry; density of states at the Fermi level = 2.5 states/eV/cell; energy of formation from the pure elements = 0.37 eV/atom; M_tot = 0.00 Bohr magnetons per cell; E_tot = -19.2 eV/cell
1.0
4.692 0.000 0.000
0.000 4.692 0.000
0.000 0.000 4.692
Li Ge Bi
1 3 1
Direct
0.000 0.000 0.000
0.000 0.000 0.500
0.000 0.500 0.000
0.500 0.000 0.000
0.500 0.500 0.500

No. 2
ZrBe3Pb PBEsol optimized geometry; density of states at the Fermi level = 1.6 states/eV/cell; energy of formation from the pure elements = 1.27 eV/atom; M_tot = 0.00 Bohr magnetons per cell; E_tot = -18.7 eV/cell
1.0
4.501 0.000 0.000
0.000 4.501 0.000
0.000 0.000 4.501
Zr Be Pb
1 3 1
Direct
0.000 0.000 0.000
0.000 0.500 0.500
0.500 0.000 0.500
0.500 0.500 0.000
0.500 0.500 0.500

No. 3
BiP2HS PBEsol optimized geometry; density of states at the Fermi level = 4.3 states/eV/cell; M_tot = 3.21 Bohr magnetons per cell; E_tot = -15.2 eV/cell
1.0
5.340 0.000 0.000
0.000 5.340 0.000
0.000 0.000 5.253
Bi P H S
1 2 1 1
Direct
0.000 0.000 0.000
0.000 0.500 0.000
0.500 0.000 0.000
0.500 0.500 0.500
0.000 0.000 0.500

No. 4
MgAg2Ir PBEsol optimized geometry; density of states at the Fermi level = 3.0 states/eV/cell; energy of formation from the pure elements = 0.04 eV/atom; M_tot = 0.08 Bohr magnetons per cell; E_tot = -18.0 eV/cell
1.0
2.807 0.000 0.000
0.000 3.993 0.000
0.000 0.000 5.689
Mg Ag Ir
1 2 1
Direct
0.000 0.000 0.000
0.000 0.000 0.520
0.500 0.500 0.272
0.500 0.500 0.777

No. 5
Tl2IrW PBEsol optimized geometry; density of states at the Fermi level = 3.2 states/eV/cell; energy of formation from the pure elements = 0.86 eV/atom; E above lowest polymorph = 0.00 eV per formula unit; M_tot = 0.00 Bohr magnetons per cell; E_tot = -25.5 eV/cell
1.0
4.676 -1.495 0.000
4.676 1.495 0.000
-1.076 0.000 5.191
Tl Ir W
2 1 1
Direct
0.247 0.247 0.247
0.753 0.753 0.753
0.500 0.500 0.000
0.000 0.000 0.500

No. 6
TaN PBEsol optimized geometry; density of states at the Fermi level = 0.7 states/eV/cell; M_tot = 0.00 Bohr magnetons per cell; formation energy without anion corrections = -1.37 eV per atom; E_tot = -71.4 eV/cell
1.0
5.186 0.000 0.000
-2.593 4.491 0.000
0.000 0.000 2.896
Ta N
3 3
Direct
0.000 0.000 0.000
0.333 0.667 0.500
0.667 0.333 0.500
0.000 0.393 0.000
0.393 0.000 0.000
0.607 0.607 0.000

No. 7
LiNbHg3 PBEsol optimized geometry; density of states at the Fermi level = 5.9 states/eV/cell; energy of formation from the pure elements = 0.63 eV/atom; M_tot = 0.81 Bohr magnetons per cell; E_tot = -11.3 eV/cell
1.0
5.342 0.000 0.000
0.000 5.342 0.000
0.000 0.000 5.342
Li Nb Hg
1 1 3
Direct
0.000 0.000 0.000
0.500 0.500 0.500
0.000 0.500 0.500
0.500 0.000 0.500
0.500 0.500 0.000

No. 8
Cr2O3 PBEsol optimized geometry; M_tot = 24.00 Bohr magnetons per cell; formation energy without anion corrections = -1.87 eV per atom; E_tot = -182.4 eV/cell
1.0
7.149 0.000 0.000
0.000 5.010 0.000
0.000 0.000 5.174
Cr O
8 12
Direct
0.108 0.250 0.032
0.108 0.750 0.532
0.392 0.250 0.532
0.392 0.750 0.032
0.608 0.250 0.968
0.608 0.750 0.468
0.892 0.250 0.468
0.892 0.750 0.968
0.000 0.050 0.750
0.000 0.950 0.250
0.152 0.392 0.394
0.152 0.608 0.894
0.348 0.108 0.894
0.348 0.892 0.394
0.500 0.450 0.250
0.500 0.550 0.750
0.652 0.108 0.606
0.652 0.892 0.106
0.848 0.392 0.106
0.848 0.608 0.606

No. 9
LaPtRh3 PBEsol optimized geometry; density of states at the Fermi level = 11.5 states/eV/cell; energy of formation from the pure elements = 1.49 eV/atom; E above lowest polymorph = 4.55 eV per formula unit; M_tot = 0.00 Bohr magnetons per cell; E_tot = -29.3 eV/cell
1.0
4.685 0.000 0.000
0.000 4.685 0.000
0.000 0.000 4.685
La Pt Rh
1 1 3
Direct
0.000 0.000 0.000
0.500 0.500 0.500
0.000 0.000 0.500
0.000 0.500 0.000
0.500 0.000 0.000

No. 10
Li2CoPd PBEsol optimized geometry; density of states at the Fermi level = 7.0 states/eV/cell; energy of formation from the pure elements = 0.16 eV/atom; M_tot = 1.54 Bohr magnetons per cell; E_tot = -17.0 eV/cell
1.0
0.000 2.875 2.875
2.875 0.000 2.875
2.875 2.875 0.000
Li Co Pd
2 1 1
Direct
0.250 0.250 0.250
0.750 0.750 0.750
0.000 0.000 0.000
0.500 0.500 0.500

No. 11
ZrMnSb2 PBEsol optimized geometry; density of states at the Fermi level = 3.7 states/eV/cell; M_tot = 2.68 Bohr magnetons per cell; formation energy without anion corrections = -0.04 eV per atom; E_tot = -28.1 eV/cell
1.0
0.000 3.421 3.421
3.421 0.000 3.421
3.421 3.421 0.000
Zr Mn Sb
1 1 2
Direct
0.000 0.000 0.000
0.500 0.500 0.500
0.250 0.250 0.250
0.750 0.750 0.750

No. 12
La2ScIr PBEsol optimized geometry; density of states at the Fermi level = 3.8 states/eV/cell; energy of formation from the pure elements = -0.35 eV/atom; E above lowest polymorph = 0.00 eV per formula unit; M_tot = 0.00 Bohr magnetons per cell; E_tot = -28.5 eV/cell
1.0
-1.804 2.628 5.402
1.804 -2.628 5.402
1.804 2.628 -5.402
La Sc Ir
2 1 1
Direct
0.000 0.000 0.000
0.705 0.205 0.500
0.397 0.397 0.000
0.222 0.722 0.500

Among the records above, which one has the lowest E_tot? Cr2O3

E_tot of number 8 (Cr2O3)? -182.4 eV/cell

Among the records above, which one has the highest E_tot? LiNbHg3

What did the fourth record say?
MgAg2Ir PBEsol optimized geometry; density of states at the Fermi level = 3.0 states/eV/cell; energy of formation from the pure elements = 0.04 eV/atom; M_tot = 0.08 Bohr magnetons per cell; E_tot = -18.0 eV/cell
1.0
2.807 0.000 0.000
0.000 3.993 0.000
0.000 0.000 5.689
Mg Ag Ir
1 2 1
Direct
0.000 0.000 0.000
0.000 0.000 0.520
0.500 0.500 0.272
0.500 0.500 0.777